# 1
The following is a PBE-GGA calculation of crystalline CoCu3 at its relaxed geometry, from Alexandria via LeMat-Bulk.

formation energy from the elements	0.092	eV/atom
SG	P4/mmm (123)

CIF file:
```
data_CoCu3
_chemical_formula_sum 'Co1 Cu3'
_cell_length_a 2.516
_cell_length_b 2.516
_cell_length_c 7.386
_cell_angle_alpha 90.00
_cell_angle_beta 90.00
_cell_angle_gamma 90.00
_space_group_name_H-M_alt 'P 1'
_space_group_IT_number 1
loop_
_space_group_symop_operation_xyz
'x,y,z'
loop_
_atom_site_label
_atom_site_fract_x
_atom_site_fract_y
_atom_site_fract_z
Cu1 0.500 0.500 0.752
Cu2 0.000 0.000 0.500
Cu3 0.500 0.500 0.248
Co1 0.000 0.000 0.000
```



# 2
The following is a PBE-GGA calculation of crystalline Y3VAg3S8 at its relaxed geometry, from Alexandria via LeMat-Bulk.

uncorrected formation energy	-1.12	eV/atom
SG	C2/m (12)

CIF file:
```
data_Y3VAg3S8
_chemical_formula_sum 'Y3 V1 Ag3 S8'
_cell_length_a 7.778
_cell_length_b 7.778
_cell_length_c 7.805
_cell_angle_alpha 120.13
_cell_angle_beta 90.00
_cell_angle_gamma 120.00
_space_group_name_H-M_alt 'P 1'
_space_group_IT_number 1
loop_
_space_group_symop_operation_xyz
'x,y,z'
loop_
_atom_site_label
_atom_site_fract_x
_atom_site_fract_y
_atom_site_fract_z
S1 0.748 0.497 0.743
S2 0.774 0.998 0.720
S3 0.226 0.002 0.280
S4 0.776 0.552 0.280
S5 0.224 0.998 0.720
S6 0.776 0.002 0.280
S7 0.252 0.503 0.257
S8 0.224 0.448 0.720
Ag1 0.000 0.500 0.000
Ag2 0.000 0.000 0.000
Ag3 0.500 0.500 0.000
Y1 0.500 0.000 0.500
Y2 0.000 0.500 0.500
Y3 0.500 0.500 0.500
V1 0.000 0.000 0.500
```



# 3
The following is a PBE-GGA calculation of crystalline NaCa5In4 at its relaxed geometry, from Alexandria via LeMat-Bulk.

formation energy from the elements	-0.369	eV/atom
SG	P4/mmm (123)

CIF file:
```
data_NaCa5In4
_chemical_formula_sum 'Na1 Ca5 In4'
_cell_length_a 3.901
_cell_length_b 3.901
_cell_length_c 20.072
_cell_angle_alpha 90.00
_cell_angle_beta 90.00
_cell_angle_gamma 90.00
_space_group_name_H-M_alt 'P 1'
_space_group_IT_number 1
loop_
_space_group_symop_operation_xyz
'x,y,z'
loop_
_atom_site_label
_atom_site_fract_x
_atom_site_fract_y
_atom_site_fract_z
In1 0.000 0.000 0.785
In2 0.000 0.000 0.406
In3 0.000 0.000 0.215
In4 0.000 0.000 0.594
Ca1 0.500 0.500 0.688
Ca2 0.500 0.500 0.312
Ca3 0.500 0.500 0.500
Ca4 0.500 0.500 0.875
Ca5 0.500 0.500 0.125
Na1 0.000 0.000 0.000
```



Question: Which formula does entry 3 have?
Answer: NaCa5In4